1.
A plane-wave DFT calculation with PBE was carried out for crystalline Ac2Pm2Tm3 at its relaxed geometry.

Output
DFT formation energy	0.235	eV/atom

The structure in CIF format:
```
data_Ac2Pm2Tm3
_space_group_name_H-M_alt 'P 1'
_space_group_IT_number 1
_cell_length_a 3.655
_cell_length_b 6.495
_cell_length_c 10.947
_cell_angle_alpha 90.00
_cell_angle_beta 90.00
_cell_angle_gamma 90.00
loop_
_space_group_symop_operation_xyz
'x,y,z'
loop_
_atom_site_label
_atom_site_fract_x
_atom_site_fract_y
_atom_site_fract_z
Ac1 0.000 0.501 0.187
Ac2 0.000 0.499 0.813
Tm1 0.000 0.250 0.500
Tm2 0.000 0.750 0.500
Tm3 0.000 0.000 0.000
Pm1 0.500 0.001 0.274
Pm2 0.500 0.999 0.726
```

2.
A plane-wave DFT calculation with PBE was carried out for crystalline Rb2TcPdI6 at its relaxed geometry.

Output
final energy	-3.237	eV per atom

The structure in CIF format:
```
data_Rb2TcPdI6
_space_group_name_H-M_alt 'P 1'
_space_group_IT_number 1
_cell_length_a 8.094
_cell_length_b 8.094
_cell_length_c 8.111
_cell_angle_alpha 60.07
_cell_angle_beta 60.07
_cell_angle_gamma 90.00
loop_
_space_group_symop_operation_xyz
'x,y,z'
loop_
_atom_site_label
_atom_site_fract_x
_atom_site_fract_y
_atom_site_fract_z
I1 0.746 0.746 0.509
I2 0.254 0.254 0.491
I3 0.253 0.253 0.000
I4 0.747 0.253 0.000
I5 0.747 0.747 0.000
I6 0.253 0.747 0.000
Rb1 0.750 0.250 0.500
Rb2 0.250 0.750 0.500
Pd1 0.000 0.000 0.000
Tc1 0.500 0.500 0.000
```